[1]
First-principles (PBEsol) data for a relaxed CaCd2Hg crystal, as listed in Alexandria.

The structure in POSCAR format:
```
CaCd2Hg
1.0
-1.2845 2.3517 2.4445
-1.6413 -2.7233 1.7574
5.7996 -0.9432 3.9549
Cd Ca Hg
2 1 1
Direct
0.0000 0.0000 0.0244 Cd
0.5000 0.5000 0.2471 Cd
0.5000 0.5000 0.7417 Ca
0.0000 0.0000 0.4867 Hg
```

Output
The value obtained for the density of states at the Fermi level is 1.5 states/eV/f.u. Its space group is P4mm (99). For the total energy, the calculation gives -1.57 eV/atom.

[2]
First-principles (PBEsol) data for a relaxed Ga7Te10 crystal, as listed in Alexandria.

The structure in POSCAR format:
```
Ga7Te10
1.0
10.1354 0.0310 0.0308
0.0827 10.1351 0.0308
0.0827 0.0823 10.1349
Te Ga
20 14
Direct
0.4369 0.6776 0.7704 Te
0.0719 0.6668 0.5710 Te
0.8360 0.8360 0.8360 Te
0.9281 0.4290 0.3332 Te
0.1682 0.0000 0.8318 Te
0.8318 0.1682 0.0000 Te
0.3224 0.5631 0.2296 Te
0.5710 0.0719 0.6668 Te
0.5000 0.9085 0.0915 Te
0.1640 0.1640 0.1640 Te
0.5631 0.2296 0.3224 Te
0.3332 0.9281 0.4290 Te
0.6776 0.7704 0.4369 Te
0.6668 0.5710 0.0719 Te
0.0000 0.8318 0.1682 Te
0.9085 0.0915 0.5000 Te
0.7704 0.4369 0.6776 Te
0.4290 0.3332 0.9281 Te
0.2296 0.3224 0.5631 Te
0.0915 0.5000 0.9085 Te
0.5692 0.5692 0.5692 Ga
0.4308 0.4308 0.4308 Ga
0.2530 0.8313 0.6629 Ga
0.1171 0.4232 0.1505 Ga
0.1505 0.1171 0.4232 Ga
0.6629 0.2530 0.8313 Ga
0.8829 0.8495 0.5768 Ga
0.4232 0.1505 0.1171 Ga
0.7470 0.3371 0.1687 Ga
0.5768 0.8829 0.8495 Ga
0.8495 0.5768 0.8829 Ga
0.3371 0.1687 0.7470 Ga
0.8313 0.6629 0.2530 Ga
0.1687 0.7470 0.3371 Ga
```

Output
Its space group is R32 (155). The uncorrected formation energy is -0.28 eV/atom.

| no. | magnetic moment (μB/cell) |
| --- | --- |
| 1 | 0.00 |
| 2 | 0.00 |